DFT (PBE+U) results for crystalline CsAl2VF8 at its relaxed geometry.

a b c (Å): 5.6402 5.6402 25.2867
angles (deg): 90.00 90.00 120.00
Space group R-3 (No. 148, hexagonal axes)
One atom of each set of equivalent atoms:
1 Cs 0.0000 0.0000 0.0000 [3 per cell]
2 Al 0.0000 0.0000 0.2350 [6 per cell]
3 V 0.0000 0.0000 0.5000 [3 per cell]
4 F 0.0000 0.0000 0.3025 [6 per cell]
5 F 0.0083 0.4111 0.8834 [18 per cell]

Results
Fermi-level density of states, states/eV/atom: 0.15
Total energy, eV/cell: -198.5